# TmThCuTc

An optimized crystal structure of TmThCuTc (PBE, Alexandria via LeMat-Bulk).

The structure belongs to space group F-43m (No. 216); the cell edges are 6.980, 6.980 and 6.980 Å and the angles 90.00°, 90.00° and 90.00°. The asymmetric unit holds Tm at (0.000, 0.000, 0.000), Th at (0.000, 0.000, 0.500), Cu at (0.250, 0.250, 0.250) and Tc at (0.250, 0.250, 0.750).

The value obtained for the calculated formation energy is -0.156 eV per atom. Its calculated volume is 21.25 Å³/atom. The total magnetization is 0.000 μB/atom. Its relative energy among the computed polymorphs is 0.008 eV per atom.

# NpTlTc2O8

An optimized crystal structure of NpTlTc2O8 (PBE, Alexandria via LeMat-Bulk).

The structure belongs to space group P-3 (No. 147); the cell edges are 5.9963, 5.9963 and 7.8005 Å and the angles 90.00°, 90.00° and 120.00°. The asymmetric unit holds Np at (0.0000, 0.0000, 0.0000), Tl at (0.0000, 0.0000, 0.5000), Tc at (0.3333, 0.6667, 0.2544), O at (0.1487, 0.3360, 0.1710) and O at (0.3333, 0.6667, 0.4779).

Its calculated volume is 20.24 Å³/atom. The total magnetization is 0.504 μB/atom. Its uncorrected formation energy is -38.43 kcal/mol of atoms.

# Ca3Tb2HfAs6

An optimized crystal structure of Ca3Tb2HfAs6 (PBE, Alexandria via LeMat-Bulk).

The structure belongs to space group C2/m (No. 12); the cell edges are 7.102, 12.303 and 7.280 Å and the angles 90.00°, 109.03° and 90.00°. The asymmetric unit holds Ca at (0.000, 0.000, 0.000), Ca at (0.000, 0.329, 0.000), Tb at (0.000, 0.166, 0.500), Hf at (0.000, 0.500, 0.500), As at (0.236, 0.341, 0.731) and As at (0.239, 0.500, 0.267).

The value obtained for the calculated formation energy is -1.190 eV per atom. Its calculated volume is 25.05 Å³/atom. The total magnetization is 0.000 μB/atom.

# ZrCd2Se

An optimized crystal structure of ZrCd2Se (PBE, Alexandria via LeMat-Bulk).

The structure belongs to space group Cm (No. 8); the cell edges are 9.782, 3.571 and 5.422 Å and the angles 90.00°, 109.91° and 90.00°. The asymmetric unit holds Zr at (0.000, 0.000, 0.000), Cd at (0.226, 0.000, 0.610), Cd at (0.468, 0.000, 0.441) and Se at (0.216, 0.500, 0.029).

Its calculated volume is 22.26 Å³/atom. The total magnetization is 0.000 μB/atom. Its uncorrected formation energy is -8.80 kcal/mol of atoms.

# Tb3Pr2Tm4

An optimized crystal structure of Tb3Pr2Tm4 (PBE, Alexandria via LeMat-Bulk).

The structure belongs to space group C2/m (No. 12); the cell edges are 15.123, 5.042 and 7.965 Å and the angles 90.00°, 108.35° and 90.00°. The asymmetric unit holds Tb at (0.000, 0.000, 0.000), Tb at (0.113, 0.000, 0.667), Pr at (0.056, 0.500, 0.330), Tm at (0.168, 0.500, 0.998) and Tm at (0.223, 0.000, 0.331).

The value obtained for the calculated formation energy is 0.025 eV per atom. Its calculated volume is 32.02 Å³/atom. The total magnetization is 0.000 μB/atom. Its relative energy among the computed polymorphs is 0.000 eV per atom.

# BaTiBe

An optimized crystal structure of BaTiBe (PBE, Alexandria via LeMat-Bulk).

The structure belongs to space group P-1 (No. 2); the cell edges are 3.950, 3.950 and 11.505 Å and the angles 89.90°, 89.95° and 60.00°. The asymmetric unit holds Ba at (0.166, 0.169, 0.178), Ti at (0.500, 0.500, 0.398) and Be at (0.167, 0.167, 0.501).

The value obtained for the calculated formation energy is 0.237 eV per atom. Its calculated volume is 25.91 Å³/atom. The total magnetization is 0.000 μB/atom. Its relative energy among the computed polymorphs is 0.000 eV per atom.

# KCdHgCl5

An optimized crystal structure of KCdHgCl5 (PBE, Alexandria via LeMat-Bulk).

The structure belongs to space group C2/c (No. 15); the cell edges are 8.873, 12.254 and 9.703 Å and the angles 90.00°, 112.22° and 90.00°. The asymmetric unit holds K at (0.000, 0.163, 0.250), Cd at (0.000, 0.500, 0.000), Hg at (0.000, 0.182, 0.750), Cl at (0.000, 0.424, 0.250), Cl at (0.114, 0.297, 0.596) and Cl at (0.186, 0.052, 0.947).

Its calculated volume is 30.52 Å³/atom. The total magnetization is 0.000 μB/atom. Its uncorrected formation energy is -25.82 kcal/mol of atoms.

# MgAl2Pb

An optimized crystal structure of MgAl2Pb (PBE, Alexandria via LeMat-Bulk).

The structure belongs to space group P4/mmm (No. 123); the cell edges are 3.227, 3.227 and 8.625 Å and the angles 90.00°, 90.00° and 90.00°. The asymmetric unit holds Mg at (0.000, 0.000, 0.000), Al at (0.500, 0.500, 0.230) and Pb at (0.000, 0.000, 0.500).

The value obtained for the calculated formation energy is 0.166 eV per atom. Its calculated volume is 22.46 Å³/atom. The total magnetization is 0.000 μB/atom.

# Li3In3Hg2

An optimized crystal structure of Li3In3Hg2 (PBE, Alexandria via LeMat-Bulk).

The structure belongs to space group P-62m (No. 189); the cell edges are 7.7861, 7.7861 and 3.1995 Å and the angles 90.00°, 90.00° and 120.00°. The asymmetric unit holds Li at (0.0000, 0.3975, 0.0000), In at (0.0000, 0.7629, 0.5000) and Hg at (0.3333, 0.6667, 0.5000).

The value obtained for the calculated formation energy is -0.259 eV per atom. Its calculated volume is 21.00 Å³/atom. The total magnetization is 0.000 μB/atom.

# Be8GeN6

An optimized crystal structure of Be8GeN6 (PBE, Alexandria via LeMat-Bulk).

The structure belongs to space group P6_3cm (No. 185); the cell edges are 5.2809, 5.2809 and 10.0248 Å and the angles 90.00°, 90.00° and 120.00°. The asymmetric unit holds Be at (0.0000, 0.3158, 0.0000), Be at (0.0000, 0.4320, 0.3211), Be at (0.3333, 0.6667, 0.1353), Ge at (0.0000, 0.0000, 0.1961), N at (0.0000, 0.0000, 0.4970), N at (0.0000, 0.4108, 0.1590) and N at (0.3333, 0.6667, 0.4092).

Its calculated volume is 8.07 Å³/atom. The total magnetization is 0.000 μB/atom. Its uncorrected formation energy is -15.09 kcal/mol of atoms.

The lowest calculated volume belongs to which entry? Be8GeN6